(1)
# La8CuS3Br4

Crystalline La8CuS3Br4 at its relaxed geometry (PBE, Alexandria via LeMat-Bulk).

Lattice parameters (Å, degrees): 8.3702 8.8139 8.3715 118.36 119.99 90.00
Fractional positions:
1 La 0.2411 0.7140 0.9730
2 La 0.2411 0.7140 0.4821
3 La 0.2638 0.2913 0.5275
4 La 0.7319 0.7140 0.9730
5 La 0.2681 0.2860 0.0270
6 La 0.7362 0.7087 0.4725
7 La 0.7589 0.2860 0.5179
8 La 0.7589 0.2860 0.0270
9 Cu 0.0000 0.5000 0.0000
10 S 0.5000 0.5000 0.0000
11 S 0.5000 0.5000 0.5000
12 S 0.0000 0.5000 0.5000
13 Br 0.5000 0.0000 0.0000
14 Br 0.5000 0.0000 0.5000
15 Br 0.0000 0.0000 0.0000
16 Br 0.0000 0.0000 0.5000

***

(2)
# LaCuSe2Br

Crystalline LaCuSe2Br at its relaxed geometry (PBE, Alexandria via LeMat-Bulk).

Values from the calculation:
E above lowest polymorph	0.000	eV per atom

Lattice parameters (Å, degrees): 4.9534 4.9534 4.8483 90.00 90.00 90.00
Fractional positions:
1 Cu 0.0000 0.0000 0.0000
2 Se 0.0000 0.5000 0.0000
3 Se 0.5000 0.0000 0.0000
4 Br 0.0000 0.0000 0.5000
5 La 0.5000 0.5000 0.5000

***

(3)
# LaCuSeBr2

Crystalline LaCuSeBr2 at its relaxed geometry (PBE, Alexandria via LeMat-Bulk).

Values from the calculation:
E above lowest polymorph	0.235	eV per atom

Lattice parameters (Å, degrees): 5.7968 5.7968 5.8381 90.00 90.00 90.00
Fractional positions:
1 Cu 0.5000 0.5000 0.5000
2 Se 0.0000 0.0000 0.5000
3 Br 0.0000 0.5000 0.0000
4 Br 0.5000 0.0000 0.0000
5 La 0.0000 0.0000 0.0000

***

Energy relative to the elements, uncorrected (eV/atom)
-1.50 -0.89 -0.63
Magnetic moment (μB/cell)
0.00 0.00 0.00